Record 1
ZnAgPd4 GGA-PBE relaxed; E = -4.35 eV/atom; M_tot = 0.00 μB per formula unit; polymorph energy (0 for the lowest one) = 0.000 eV/atom; energy relative to the elements = -0.20 eV per atom
1.0
-2.767 -0.529 0.303
0.588 -3.682 -1.049
1.290 -2.104 8.111
Pd Ag Zn
4 1 1
Direct
0.000 0.500 0.658
0.000 0.500 0.342
0.500 0.000 0.826
0.500 0.000 0.174
0.000 0.500 0.000
0.500 0.000 0.500



Record 2
Ce4Tc2Hg GGA-PBE relaxed; E = -6.51 eV/atom; M_tot = 0.07 μB per formula unit; energy relative to the elements = -0.12 eV per atom
1.0
7.862 -1.079 -0.942
-1.768 6.705 0.010
-3.657 -3.205 7.243
Ce Hg Tc
8 2 4
Direct
0.409 0.249 0.503
0.357 0.137 0.865
0.264 0.571 0.102
0.880 0.225 0.176
0.942 0.527 0.631
0.829 0.723 0.247
0.767 0.956 0.613
0.550 0.709 0.888
0.073 0.932 0.027
0.293 0.754 0.516
0.042 0.217 0.591
0.693 0.342 0.823
0.609 0.430 0.309
0.544 0.976 0.210



Record 3
LiZnRe2Ru GGA-PBE relaxed; E = -6.10 eV/atom; M_tot = 0.00 μB per formula unit; energy relative to the elements = 1.38 eV per atom
1.0
4.122 0.000 0.000
0.000 4.160 0.000
0.000 0.000 4.122
Re Ru Zn Li
2 1 1 1
Direct
0.500 0.000 0.000
0.000 0.000 0.500
0.000 0.500 0.000
0.500 0.500 0.500
0.000 0.000 0.000



Record 4
Cu2Ni2Ir GGA-PBE relaxed; E = -5.63 eV/atom; M_tot = 0.00 μB per formula unit; polymorph energy (0 for the lowest one) = 0.000 eV/atom; energy relative to the elements = 0.09 eV per atom
1.0
-1.728 -0.329 -3.673
-1.818 -1.465 0.986
-1.468 5.657 2.442
Cu Ni Ir
2 2 1
Direct
0.789 0.289 0.578
0.211 0.711 0.422
0.599 0.599 0.198
0.401 0.401 0.802
0.000 0.000 0.000